An optimized crystal structure of MgGaI4Br. Source: the Alexandria database, functional PBE.

a b c (Å): 16.177 8.284 12.233
angles (deg): 90.00 106.29 90.00
Space group C2/m (No. 12)
One atom of each set of equivalent atoms:
Mg 0.097 0.000 0.094 [4 per cell]
Ga 0.134 0.500 0.261 [4 per cell]
I 0.026 0.500 0.821 [4 per cell]
I 0.199 0.500 0.474 [4 per cell]
I 0.210 0.255 0.178 [8 per cell]
Br 0.050 0.000 0.877 [4 per cell]

## Properties
DOS at the Fermi energy in states/eV/f.u.: 0.0
Crystal system: monoclinic
Energy in eV/f.u.: -17.906

=====

An optimized crystal structure of Pm4CdSi. Source: the Alexandria database, functional PBE.

a b c (Å): 14.131 14.131 14.131
angles (deg): 90.00 90.00 90.00
Space group F-43m (No. 216)
One atom of each set of equivalent atoms:
Pm 0.000 0.000 0.186 [24 per cell]
Pm 0.062 0.250 0.750 [24 per cell]
Pm 0.107 0.107 0.393 [16 per cell]
Cd 0.169 0.169 0.169 [16 per cell]
Si 0.105 0.105 0.605 [16 per cell]

## Properties
ΔE to the lowest computed polymorph in meV per atom: 0
DOS at the Fermi energy in states/eV/f.u.: 7.4
Crystal system: cubic
Energy in eV/f.u.: -27.372